A plane-wave DFT calculation with GGA-PBE was carried out for a geometry-optimized ReSi3 structure.

The total moment comes out at 0.000 μB per atom. The uncorrected formation energy is 0.4378 eV per atom.

The space group is P6_3/mmc (No. 194) and the conventional cell measures 5.1937, 5.1937 and 9.4424 Å, with angles of 90.00, 90.00 and 120.00 degrees. The asymmetric unit holds Re at (0.0000, 0.0000, 0.0000), Re at (0.3333, 0.6667, 0.2500), Si at (0.0000, 0.5000, 0.0000) and Si at (0.1599, 0.3197, 0.7500).